[1]
A plane-wave DFT calculation with PBE was carried out for Sc2In2Pb after structural relaxation. Values from VASP.

The structure in Quantum ESPRESSO input format:
```
&SYSTEM
  ibrav = 0, nat = 10, ntyp = 3
/
ATOMIC_SPECIES
Sc 44.96 Sc.upf
In 114.82 In.upf
Pb 207.20 Pb.upf
ATOMIC_POSITIONS angstrom
Sc 1.499 2.729 0.000
Sc 2.729 6.957 0.000
Sc 5.727 1.499 0.000
Sc 6.957 5.727 0.000
In 1.034 5.262 1.753
In 3.194 1.034 1.753
In 5.262 7.422 1.753
In 7.422 3.194 1.753
Pb 0.000 0.000 1.753
Pb 4.228 4.228 1.753
CELL_PARAMETERS angstrom
8.456 0.000 0.000
0.000 8.456 0.000
0.000 0.000 3.506
```

Values from the calculation:
- E above lowest polymorph: 0.028 eV per atom
- DOS at the Fermi energy: 0.3869 states/eV/atom
- Energy: -4.62 eV per atom
- Magnetic moment: 0.000 μB/f.u.
- V: 25.07 Å³ per atom
- Crystal system: tetragonal

---

[2]
A plane-wave DFT calculation with PBE was carried out for BaAg4Ge after structural relaxation. Values from VASP.

The structure in Quantum ESPRESSO input format:
```
&SYSTEM
  ibrav = 0, nat = 12, ntyp = 3
/
ATOMIC_SPECIES
Ba 137.33 Ba.upf
Ag 107.87 Ag.upf
Ge 72.64 Ge.upf
ATOMIC_POSITIONS angstrom
Ba 2.392 8.420 4.399
Ba 2.392 -8.420 1.466
Ag 2.392 6.939 1.466
Ag 2.392 4.473 0.016
Ag 2.392 4.473 2.916
Ag 2.392 0.000 0.000
Ag 2.392 0.000 2.933
Ag 2.392 -4.473 2.949
Ag 2.392 -4.473 5.849
Ag 2.392 -6.939 4.399
Ge 2.392 2.178 4.399
Ge 2.392 -2.178 1.466
CELL_PARAMETERS angstrom
2.392 -10.547 0.000
2.392 10.547 0.000
0.000 0.000 5.866
```

Values from the calculation:
- E above lowest polymorph: 0.000 eV per atom
- DOS at the Fermi energy: 0.3229 states/eV/atom
- Energy: -3.12 eV per atom
- Magnetic moment: 0.000 μB/f.u.
- V: 24.66 Å³ per atom
- Crystal system: orthorhombic

---

[3]
A plane-wave DFT calculation with PBE was carried out for SiAgPt4 after structural relaxation. Values from VASP.

The structure in Quantum ESPRESSO input format:
```
&SYSTEM
  ibrav = 0, nat = 12, ntyp = 3
/
ATOMIC_SPECIES
Si 28.09 Si.upf
Ag 107.87 Ag.upf
Pt 195.08 Pt.upf
ATOMIC_POSITIONS angstrom
Si 4.058 1.317 0.000
Si 3.557 -1.317 2.269
Ag 7.365 1.755 3.404
Ag 7.866 -1.755 1.135
Pt 2.417 0.748 1.738
Pt 6.287 0.728 0.778
Pt 1.916 -0.748 4.007
Pt 9.446 0.728 1.491
Pt 5.785 -0.728 3.047
Pt 13.315 0.748 0.531
Pt 8.945 -0.728 3.760
Pt 12.814 -0.748 2.800
CELL_PARAMETERS angstrom
8.117 -2.635 0.000
8.117 2.635 0.000
-1.002 0.000 4.538
```

Values from the calculation:
- ΔE_f (raw): -265 meV per atom
- E above lowest polymorph: 0.000 eV per atom
- DOS at the Fermi energy: 0.3388 states/eV/atom
- Energy: -5.67 eV per atom
- Magnetic moment: 0.000 μB/f.u.
- V: 16.18 Å³ per atom
- Crystal system: monoclinic